# 1
A plane-wave DFT calculation with PBE was carried out for a geometry-optimized AcCuSi2Pt structure.

Values from the calculation:
raw formation energy: -751 meV/atom
energy: -57.7 eV per cell

Cell lengths 4.3337, 4.3337, 10.0793 Å; angles 90.00, 90.00, 90.00 degrees
Space group I-4m2 (No. 119)
Symmetry-distinct sites (fractional):
Ac 0.0000 0.0000 0.0000 (multiplicity 2)
Cu 0.0000 0.5000 0.7500 (multiplicity 2)
Si 0.0000 0.0000 0.3751 (multiplicity 4)
Pt 0.0000 0.5000 0.2500 (multiplicity 2)

***

# 2
A plane-wave DFT calculation with PBE was carried out for a geometry-optimized Tb5DyEr2Mg structure.

Values from the calculation:
E_form: 10.0 kJ per mole of atoms
energy: -150.2 eV per cell

Cell lengths 5.4005, 19.9343, 10.5236 Å; angles 90.00, 90.00, 90.00 degrees
Space group Cmc2_1 (No. 36)
Symmetry-distinct sites (fractional):
Tb 0.0000 0.0005 0.0000 (multiplicity 4)
Tb 0.0000 0.1179 0.2508 (multiplicity 4)
Tb 0.0000 0.2097 0.9518 (multiplicity 4)
Tb 0.0000 0.2106 0.5497 (multiplicity 4)
Tb 0.0000 0.4859 0.2508 (multiplicity 4)
Dy 0.0000 0.2949 0.2508 (multiplicity 4)
Er 0.0000 0.3859 0.5374 (multiplicity 4)
Er 0.0000 0.3857 0.9644 (multiplicity 4)
Mg 0.0000 0.0951 0.7490 (multiplicity 4)

***

# 3
A plane-wave DFT calculation with PBE was carried out for a geometry-optimized PmAgPd3 structure.

Values from the calculation:
energy above the lowest structure with this stoichiometry: 0.0000 eV per atom
E_form: -43.8 kJ per mole of atoms
energy: -50.9 eV per cell

Cell lengths 4.5864, 6.0378, 7.1192 Å; angles 90.00, 90.00, 90.00 degrees
Space group Pmmn (No. 59, origin choice 2)
Symmetry-distinct sites (fractional):
Pm 0.2500 0.2500 0.1854 (multiplicity 2)
Ag 0.2500 0.7500 0.4504 (multiplicity 2)
Pd 0.2500 0.0318 0.7530 (multiplicity 4)
Pd 0.2500 0.7500 0.0749 (multiplicity 2)

***

> energy of number 3 (PmAgPd3)?

-50.9 eV per cell

***

> Which of these has the highest energy?

PmAgPd3

***

> What is the formula in the first record?

AcCuSi2Pt

***

> The lowest energy belongs to which entry?

Tb5DyEr2Mg